# 1
## GaSiO4 (GGA-PBE)

Data for GaSiO4 after structural relaxation.

POSCAR file:
```
GaSiO4
1.0
5.193 0.000 0.000
0.000 5.193 0.000
-2.596 -2.596 4.014
Ga Si O
1 1 4
Direct
0.750 0.250 0.500 Ga
0.500 0.500 0.000 Si
0.513 0.850 0.238 O
0.725 0.388 0.238 O
0.150 0.275 0.762 O
0.612 0.487 0.762 O
```

## Properties
The space group is I-4 (82). For the total energy, the calculation gives -39.66 eV/cell. The calculation puts the total moment at 1.005 μB per cell. Its crystal system is tetragonal. For the uncorrected formation energy, the calculation gives -1.90 eV/atom.



# 2
## GaSiO2 (GGA-PBE)

Data for GaSiO2 after structural relaxation.

POSCAR file:
```
GaSiO2
1.0
-2.685 0.818 4.277
4.151 -1.040 2.805
1.847 4.071 3.441
Si O Ga
2 4 2
Direct
0.500 0.500 0.000 Si
0.250 0.750 0.500 Si
0.707 0.125 0.250 O
0.043 0.625 0.250 O
0.375 0.293 0.750 O
0.875 0.957 0.750 O
0.000 0.000 0.000 Ga
0.750 0.250 0.500 Ga
```

## Properties
The space group is I-42d (122). For the total energy, the calculation gives -42.89 eV/cell. The calculation puts the total moment at 0.000 μB per cell. Its crystal system is tetragonal. Its energy above the lowest structure with this stoichiometry is 0.946 eV/atom. For the uncorrected formation energy, the calculation gives -0.77 eV/atom.



# 3
## GaSi2O (GGA-PBE)

Data for GaSi2O after structural relaxation.

POSCAR file:
```
GaSi2O
1.0
4.519 0.000 0.000
0.000 4.519 0.000
2.260 2.260 6.094
Si O Ga
4 2 2
Direct
0.504 0.125 0.250 Si
0.246 0.625 0.250 Si
0.375 0.496 0.750 Si
0.875 0.754 0.750 Si
0.500 0.500 0.000 O
0.250 0.750 0.500 O
0.000 0.000 0.000 Ga
0.750 0.250 0.500 Ga
```

## Properties
The space group is I-42d (122). For the total energy, the calculation gives -39.66 eV/cell. The calculation puts the total moment at 0.000 μB per cell. Its crystal system is tetragonal. Its energy above the lowest structure with this stoichiometry is 0.000 eV/atom. For the uncorrected formation energy, the calculation gives -0.25 eV/atom.



# 4
## Ga3SiO (GGA-PBE)

Data for Ga3SiO after structural relaxation.

POSCAR file:
```
Ga3SiO
1.0
-0.100 2.663 -3.943
-4.644 0.804 0.662
1.036 3.862 2.582
Si O Ga
1 1 3
Direct
0.000 0.000 0.000 Si
0.500 0.500 0.500 O
0.000 0.500 0.000 Ga
0.000 0.000 0.500 Ga
0.500 0.000 0.000 Ga
```

## Properties
The space group is Pm-3m (221). For the total energy, the calculation gives -16.70 eV/cell. The calculation puts the total moment at 0.000 μB per cell. Its crystal system is cubic. Its energy above the lowest structure with this stoichiometry is 0.560 eV/atom. For the uncorrected formation energy, the calculation gives 0.55 eV/atom.